KTc: relaxed, PBE-GGA.

N(E_F)   10.9 states/eV/cell
VASP energy   -4.3725 eV/atom
Offset from the most stable computed form   603 meV per atom
Crystal system   orthorhombic
Energy relative to the elements   1.359 eV per atom

Lattice parameters (Å, degrees): 8.763 8.031 5.721 77.15 63.32 39.54
Positions (direct):
1 K 0.032 0.718 0.032
2 K 0.282 0.968 0.282
3 K 0.718 0.032 0.718
4 K 0.968 0.282 0.968
5 Tc 0.303 0.303 0.447
6 Tc 0.447 0.447 0.303
7 Tc 0.553 0.553 0.697
8 Tc 0.697 0.697 0.553


CaErGa2: relaxed, PBE-GGA.

N(E_F)   2.0 states/eV/cell
VASP energy   -3.6688 eV/atom
Crystal system   tetragonal
Energy relative to the elements   -0.514 eV per atom

Lattice parameters (Å, degrees): 3.594 3.594 7.264 90.00 90.00 90.00
Positions (direct):
1 Ca 0.000 0.000 0.000
2 Er 0.000 0.000 0.500
3 Ga 0.500 0.500 0.262
4 Ga 0.500 0.500 0.738


HoRhI: relaxed, PBE-GGA.

Formation energy from raw total energies   -21.10 kcal/mol of atoms
N(E_F)   2.8 states/eV/cell
VASP energy   -5.4083 eV/atom
Crystal system   triclinic

Lattice parameters (Å, degrees): 3.830 4.104 10.888 94.58 99.94 90.01
Positions (direct):
1 Ho 0.071 0.277 0.144
2 Ho 0.929 0.723 0.856
3 Rh 0.458 0.220 0.915
4 Rh 0.542 0.780 0.085
5 I 0.335 0.314 0.664
6 I 0.665 0.686 0.336


Sm3ThSc4: relaxed, PBE-GGA.

N(E_F)   31.5 states/eV/cell
VASP energy   -5.7944 eV/atom
Crystal system   orthorhombic
Energy relative to the elements   0.069 eV per atom

Lattice parameters (Å, degrees): 11.040 6.963 6.018 90.00 90.00 90.00
Positions (direct):
1 Sm 0.000 0.130 0.000
2 Sm 0.246 0.134 0.355
3 Sm 0.254 0.866 0.855
4 Sm 0.500 0.870 0.500
5 Sm 0.746 0.866 0.855
6 Sm 0.754 0.134 0.355
7 Th 0.000 0.858 0.515
8 Th 0.500 0.142 0.015
9 Sc 0.000 0.390 0.516
10 Sc 0.000 0.617 0.024
11 Sc 0.249 0.615 0.349
12 Sc 0.251 0.385 0.849
13 Sc 0.500 0.383 0.524
14 Sc 0.500 0.610 0.016
15 Sc 0.749 0.385 0.849
16 Sc 0.751 0.615 0.349